Record 1
Computed, not measured: an optimized crystal structure of Ti3HPb at the PBE level of DFT.

Calculated values
The uncorrected energy comes out at -63.16 eV for the cell shown. As for the relative energy among the computed polymorphs: 42 meV/atom.

Unit cell a=19.717 b=9.390 c=9.390 alpha=154.98 beta=162.77 gamma=17.23
Atoms (fractional coordinates):
Ti 0.810 0.130 0.870
Ti 0.442 0.366 0.634
Ti 0.190 0.870 0.130
Ti 0.558 0.634 0.366
Ti 0.056 0.637 0.363
Ti 0.944 0.363 0.637
Pb 0.677 0.897 0.103
Pb 0.323 0.103 0.897
H 0.934 0.882 0.118
H 0.066 0.118 0.882


Record 2
Computed, not measured: an optimized crystal structure of Ti5H2Pb at the PBE level of DFT.

Calculated values
The uncorrected energy comes out at -49.93 eV for the cell shown.

Unit cell a=4.027 b=4.027 c=7.679 alpha=105.20 beta=105.20 gamma=90.00
Atoms (fractional coordinates):
H 0.133 0.133 0.266
H 0.867 0.867 0.734
Ti 0.155 0.655 0.310
Ti 0.000 0.000 0.000
Ti 0.845 0.345 0.690
Ti 0.345 0.845 0.690
Ti 0.655 0.155 0.310
Pb 0.500 0.500 0.000


Record 3
Computed, not measured: an optimized crystal structure of Ti6HPb2 at the PBE level of DFT.

Calculated values
The uncorrected energy comes out at -59.33 eV for the cell shown. As for the relative energy among the computed polymorphs: 0 meV/atom.

Unit cell a=4.822 b=6.051 c=6.051 alpha=57.89 beta=87.60 gamma=87.60
Atoms (fractional coordinates):
Ti 0.253 0.313 0.835
Ti 0.223 0.826 0.826
Ti 0.747 0.165 0.687
Ti 0.253 0.835 0.313
Ti 0.747 0.687 0.165
Ti 0.777 0.174 0.174
Pb 0.739 0.668 0.668
Pb 0.261 0.332 0.332
H 0.000 0.000 0.000


Record 4
Computed, not measured: an optimized crystal structure of Ti3HPb at the PBE level of DFT.

Calculated values
The uncorrected energy comes out at -29.07 eV for the cell shown. As for the relative energy among the computed polymorphs: 545 meV/atom.

Unit cell a=3.697 b=3.697 c=7.419 alpha=90.00 beta=90.00 gamma=90.00
Atoms (fractional coordinates):
Ti 0.000 0.500 0.481
Ti 0.500 0.000 0.481
Ti 0.000 0.000 0.757
Pb 0.000 0.000 0.146
H 0.500 0.500 0.399


Record 5
Computed, not measured: an optimized crystal structure of Ti9H3Pb at the PBE level of DFT.

Calculated values
The uncorrected energy comes out at -81.73 eV for the cell shown.

Unit cell a=3.893 b=7.699 c=7.699 alpha=120.00 beta=90.00 gamma=90.00
Atoms (fractional coordinates):
Ti 0.500 0.792 0.208
Ti 0.500 0.208 0.416
Ti 0.500 0.584 0.792
Ti 0.000 0.000 0.500
Ti 0.500 0.416 0.208
Ti 0.000 0.500 0.000
Ti 0.500 0.208 0.792
Ti 0.500 0.792 0.584
Ti 0.000 0.500 0.500
H 0.500 0.500 0.500
H 0.500 0.000 0.500
H 0.500 0.500 0.000
Pb 0.000 0.000 0.000


Record 6
Computed, not measured: an optimized crystal structure of Ti3HPb at the PBE level of DFT.

Calculated values
The uncorrected energy comes out at -62.08 eV for the cell shown. As for the relative energy among the computed polymorphs: 151 meV/atom.

Unit cell a=16.688 b=7.204 c=7.204 alpha=141.96 beta=154.20 gamma=25.80
Atoms (fractional coordinates):
H 0.706 0.847 0.153
H 0.294 0.153 0.847
Ti 0.263 0.675 0.325
Ti 0.429 0.283 0.717
Ti 0.571 0.717 0.283
Ti 0.978 0.623 0.377
Ti 0.737 0.325 0.675
Ti 0.022 0.377 0.623
Pb 0.816 0.023 0.977
Pb 0.184 0.977 0.023